DFT (PBE-GGA) results for LaTmGe after structural relaxation.

Calculated values
For the formation enthalpy at 0 K, the calculation gives -0.477 eV per atom. The space group is P3m1, No. 156.

Cell and atoms, written as POSCAR:
```
LaTmGe
1.0
4.7953 0.0000 0.0000
-2.3976 4.1528 0.0000
0.0000 0.0000 4.3481
La Tm Ge
1 1 1
Cartesian
0.0000 0.0000 0.0000
0.0000 2.7686 2.1288
2.3976 1.3843 2.3801
```